VASP calculation (PBE) on a geometry-optimized SrYB structure.

a = 7.082 Å, b = 7.082 Å, c = 7.242 Å
α = 100.49°, β = 100.49°, γ = 27.12°
Fractional positions:
Sr 0.000 0.000 0.000
Sr 0.520 0.520 0.511
Y 0.265 0.265 0.361
Y 0.750 0.750 0.890
B 0.352 0.352 0.706
B 0.854 0.854 0.632

The formation energy is 0.5 kcal/mol of atoms. The calculation puts the excess energy over the best structure of this formula in the dataset at 0.0352 eV per atom.